[1]
DFT (PBE) results for an optimized crystal structure of Pr7Ag2Pd2.

The structure in CIF format:
```
data_Pr7Ag2Pd2
_chemical_formula_sum 'Pr14 Ag4 Pd4'
_cell_length_a 8.078
_cell_length_b 11.433
_cell_length_c 7.446
_cell_angle_alpha 90.00
_cell_angle_beta 90.00
_cell_angle_gamma 90.00
_space_group_name_H-M_alt 'C m m m'
_space_group_IT_number 65
_space_group_name_Hall '-C 2 2'
loop_
_atom_site_label
_atom_site_fract_x
_atom_site_fract_y
_atom_site_fract_z
Pr1 0.000 0.000 0.000
Pr2 0.000 0.500 0.256
Pr3 0.250 0.250 0.267
Ag1 0.172 0.000 0.500
Pd1 0.000 0.291 0.000
```

formation enthalpy at 0 K = -2.06 eV per formula unit
E_tot = -103.2 eV/cell



[2]
DFT (PBE) results for an optimized crystal structure of Ni2PW2.

The structure in CIF format:
```
data_Ni2PW2
_chemical_formula_sum 'Ni4 P2 W4'
_cell_length_a 3.564
_cell_length_b 3.564
_cell_length_c 12.232
_cell_angle_alpha 90.00
_cell_angle_beta 90.00
_cell_angle_gamma 90.00
_space_group_name_H-M_alt 'I 4/m m m'
_space_group_IT_number 139
_space_group_name_Hall '-I 4 2'
loop_
_atom_site_label
_atom_site_fract_x
_atom_site_fract_y
_atom_site_fract_z
Ni1 0.000 0.000 0.095
P1 0.000 0.000 0.500
W1 0.000 0.500 0.250
```

formation enthalpy at 0 K = 3.55 eV per formula unit
energy above the most stable polymorph in this dataset = 0.6129 eV/atom
E_tot = -78.7 eV/cell



[3]
DFT (PBE) results for an optimized crystal structure of CdIrSe2.

The structure in CIF format:
```
data_CdIrSe2
_chemical_formula_sum 'Cd1 Ir1 Se2'
_cell_length_a 3.338
_cell_length_b 4.635
_cell_length_c 4.835
_cell_angle_alpha 90.00
_cell_angle_beta 90.00
_cell_angle_gamma 90.00
_space_group_name_H-M_alt 'P m m m'
_space_group_IT_number 47
_space_group_name_Hall '-P 2 2'
loop_
_atom_site_label
_atom_site_fract_x
_atom_site_fract_y
_atom_site_fract_z
Cd1 0.000 0.000 0.000
Ir1 0.500 0.000 0.500
Se1 0.000 0.500 0.500
Se2 0.500 0.500 0.000
```

E_tot = -14.6 eV/cell



[4]
DFT (PBE) results for an optimized crystal structure of Tb8Ho6Sc.

The structure in CIF format:
```
data_Tb8Ho6Sc
_chemical_formula_sum 'Tb8 Ho6 Sc1'
_cell_length_a 9.7881
_cell_length_b 9.7881
_cell_length_c 5.7331
_cell_angle_alpha 90.00
_cell_angle_beta 90.00
_cell_angle_gamma 120.00
_space_group_name_H-M_alt 'P -3'
_space_group_IT_number 147
_space_group_name_Hall '-P 3'
loop_
_atom_site_label
_atom_site_fract_x
_atom_site_fract_y
_atom_site_fract_z
Tb1 0.0515 0.7801 0.2345
Tb2 0.3333 0.6667 0.2355
Ho1 0.0919 0.6207 0.7435
Sc1 0.0000 0.0000 0.5000
```

formation enthalpy at 0 K = 2.22 eV per formula unit
energy above the most stable polymorph in this dataset = 0.0000 eV/atom
E_tot = -68.6 eV/cell



[5]
DFT (PBE) results for an optimized crystal structure of CsHgBiTe3.

The structure in CIF format:
```
data_CsHgBiTe3
_chemical_formula_sum 'Cs2 Hg2 Bi2 Te6'
_cell_length_a 10.139
_cell_length_b 4.654
_cell_length_c 11.239
_cell_angle_alpha 90.00
_cell_angle_beta 108.97
_cell_angle_gamma 90.00
_space_group_name_H-M_alt 'P 1 21/m 1'
_space_group_IT_number 11
_space_group_name_Hall '-P 2yb'
loop_
_atom_site_label
_atom_site_fract_x
_atom_site_fract_y
_atom_site_fract_z
Cs1 0.213 0.250 0.260
Hg1 0.084 0.250 0.622
Bi1 0.329 0.750 0.875
Te1 0.118 0.250 0.884
Te2 0.216 0.750 0.549
Te3 0.467 0.750 0.154
```

E_tot = -34.7 eV/cell



[6]
DFT (PBE) results for an optimized crystal structure of Ti4MnFe2.

The structure in CIF format:
```
data_Ti4MnFe2
_chemical_formula_sum 'Ti8 Mn2 Fe4'
_cell_length_a 5.885
_cell_length_b 5.885
_cell_length_c 5.834
_cell_angle_alpha 90.00
_cell_angle_beta 90.00
_cell_angle_gamma 90.00
_space_group_name_H-M_alt 'I 4/m m m'
_space_group_IT_number 139
_space_group_name_Hall '-I 4 2'
loop_
_atom_site_label
_atom_site_fract_x
_atom_site_fract_y
_atom_site_fract_z
Ti1 0.250 0.250 0.250
Mn1 0.000 0.000 0.000
Fe1 0.000 0.500 0.000
```

formation enthalpy at 0 K = -0.92 eV per formula unit
E_tot = -117.2 eV/cell



[7]
DFT (PBE) results for an optimized crystal structure of Fe2AsBr.

The structure in CIF format:
```
data_Fe2AsBr
_chemical_formula_sum 'Fe2 As1 Br1'
_cell_length_a 3.206
_cell_length_b 3.206
_cell_length_c 7.438
_cell_angle_alpha 90.00
_cell_angle_beta 90.00
_cell_angle_gamma 90.00
_space_group_name_H-M_alt 'P 4 m m'
_space_group_IT_number 99
_space_group_name_Hall 'P 4 -2'
loop_
_atom_site_label
_atom_site_fract_x
_atom_site_fract_y
_atom_site_fract_z
Fe1 0.000 0.000 0.000
Fe2 0.500 0.500 0.171
As1 0.000 0.000 0.332
Br1 0.500 0.500 0.797
```

energy above the most stable polymorph in this dataset = 0.0432 eV/atom
E_tot = -23.0 eV/cell



[8]
DFT (PBE) results for an optimized crystal structure of Tb8Nd6Th.

The structure in CIF format:
```
data_Tb8Nd6Th
_chemical_formula_sum 'Tb24 Nd18 Th3'
_cell_length_a 9.1627
_cell_length_b 9.1627
_cell_length_c 20.9466
_cell_angle_alpha 90.00
_cell_angle_beta 90.00
_cell_angle_gamma 120.00
_space_group_name_H-M_alt 'R -3'
_space_group_IT_number 148
_space_group_name_Hall '-R 3'
loop_
_atom_site_label
_atom_site_fract_x
_atom_site_fract_y
_atom_site_fract_z
Tb1 0.0000 0.0000 0.0771
Tb2 0.0813 0.5210 0.3054
Nd1 0.0590 0.8112 0.2102
Th1 0.0000 0.0000 0.5000
```

formation enthalpy at 0 K = 1.79 eV per formula unit
E_tot = -213.8 eV/cell



What is the formula in the sixth record? Ti4MnFe2